{"formula": "TaTiN3", "functional": "GGA-PBE", "state": "relaxed", "n_ef_per_ev_cell": 1.17, "e_form_raw_mev_per_atom": 268, "magmom_total_mub_per_fu": 0.0, "final_energy_ev_per_atom": -8.676, "lattice_angstrom": [[3.800, 0.000, 0.000], [0.000, 3.800, 0.000], [0.000, 0.000, 3.800]], "species": ["Ta", "Ti", "N", "N", "N"], "fractional_positions": [[0.000, 0.000, 0.000], [0.500, 0.500, 0.500], [0.000, 0.500, 0.500], [0.500, 0.000, 0.500], [0.500, 0.500, 0.000]]}